[1]
VASP calculation (GGA-PBE) on a relaxed AcMgGe2Pt2 crystal.

Geometry as POSCAR:
```
AcMgGe2Pt2
1.0
4.418 0.000 0.000
-2.209 3.826 0.000
0.000 0.000 7.334
Ac Mg Ge Pt
1 1 2 2
Direct
0.000 0.000 0.000 Ac
0.000 0.000 0.500 Mg
0.333 0.667 0.702 Ge
0.667 0.333 0.298 Ge
0.333 0.667 0.319 Pt
0.667 0.333 0.681 Pt
```

Results
- magnetization (μB/f.u.) = 0.00
- ΔE_f (meV/atom) = -870
- final energy (eV per atom) = -5.373
- space group = P-3m1, No. 164

=====

[2]
VASP calculation (GGA-PBE) on a relaxed Ac2MgGe3Pt12 crystal.

Geometry as POSCAR:
```
Ac2MgGe3Pt12
1.0
4.210 2.431 6.223
-4.210 2.431 6.223
0.000 -4.861 6.223
Ac Mg Ge Pt
2 1 3 12
Direct
0.115 0.115 0.115 Ac
0.885 0.885 0.885 Ac
0.500 0.500 0.500 Mg
0.000 0.500 0.500 Ge
0.500 0.000 0.500 Ge
0.500 0.500 0.000 Ge
0.128 0.630 0.630 Pt
0.142 0.142 0.602 Pt
0.142 0.602 0.142 Pt
0.370 0.370 0.872 Pt
0.370 0.872 0.370 Pt
0.398 0.858 0.858 Pt
0.602 0.142 0.142 Pt
0.630 0.128 0.630 Pt
0.630 0.630 0.128 Pt
0.858 0.398 0.858 Pt
0.858 0.858 0.398 Pt
0.872 0.370 0.370 Pt
```

Results
- magnetization (μB/f.u.) = 0.00
- ΔE_f (meV/atom) = -395
- final energy (eV per atom) = -5.737
- space group = R-3m, No. 166

=====

[3]
VASP calculation (GGA-PBE) on a relaxed AcPuMgGe crystal.

Geometry as POSCAR:
```
AcPuMgGe
1.0
0.000 3.829 3.829
3.829 0.000 3.829
3.829 3.829 0.000
Ac Pu Mg Ge
1 1 1 1
Direct
0.000 0.000 0.000 Ac
0.500 0.500 0.500 Pu
0.250 0.250 0.250 Mg
0.750 0.750 0.750 Ge
```

Results
- magnetization (μB/f.u.) = 6.59
- ΔE_f (meV/atom) = -130
- final energy (eV per atom) = -6.293
- space group = F-43m, No. 216

=====

[4]
VASP calculation (GGA-PBE) on a relaxed AcPuMgGe2 crystal.

Geometry as POSCAR:
```
AcPuMgGe2
1.0
-2.315 2.315 6.095
2.315 -2.315 6.095
2.315 2.315 -6.095
Ac Pu Mg Ge
1 1 1 2
Direct
0.000 0.000 0.000 Ac
0.750 0.250 0.500 Pu
0.250 0.750 0.500 Mg
0.393 0.393 0.000 Ge
0.607 0.607 0.000 Ge
```

Results
- magnetization (μB/f.u.) = 5.56
- ΔE_f (meV/atom) = -439
- final energy (eV per atom) = -6.293
- space group = I-4m2, No. 119

=====

[5]
VASP calculation (GGA-PBE) on a relaxed Ac2MgGe4Rh3 crystal.

Geometry as POSCAR:
```
Ac2MgGe4Rh3
1.0
4.411 0.000 0.000
0.000 4.411 0.000
0.000 0.000 10.596
Ac Mg Ge Rh
2 1 4 3
Direct
0.000 0.500 0.239 Ac
0.500 0.000 0.761 Ac
0.000 0.000 0.500 Mg
0.000 0.000 0.000 Ge
0.000 0.500 0.642 Ge
0.500 0.000 0.358 Ge
0.500 0.500 0.000 Ge
0.000 0.500 0.882 Rh
0.500 0.000 0.118 Rh
0.500 0.500 0.500 Rh
```

Results
- magnetization (μB/f.u.) = 0.00
- ΔE_f (meV/atom) = -740
- final energy (eV per atom) = -5.773
- space group = P-4m2, No. 115

=====

[6]
VASP calculation (GGA-PBE) on a relaxed AcMg2GeRh2 crystal.

Geometry as POSCAR:
```
AcMg2GeRh2
1.0
4.689 0.000 0.000
0.000 4.689 0.000
0.000 0.000 6.279
Ac Mg Ge Rh
1 2 1 2
Direct
0.000 0.000 0.000 Ac
0.500 0.500 0.261 Mg
0.500 0.500 0.739 Mg
0.000 0.000 0.500 Ge
0.000 0.500 0.500 Rh
0.500 0.000 0.500 Rh
```

Results
- magnetization (μB/f.u.) = 0.50
- ΔE_f (meV/atom) = -391
- final energy (eV per atom) = -4.827
- space group = P4/mmm, No. 123

=====

- What is the magnetization in the sixth record?
  0.50 μB/f.u.